Here is a relaxed PaCr2CuO6 crystal from Alexandria. Energies are from PBE with a Hubbard U.

extended XYZ file:
```
10
Lattice="5.3680 0.0010 -0.0008 2.6848 4.6476 -0.0004 2.6856 1.5517 4.6704" Properties=species:S:1:pos:R:3 pbc="T T T"
Pa 8.0527 4.6504 2.7280
Cr 5.3692 3.1008 2.1096
Cr 2.6851 1.5514 4.4104
Cu 2.6875 1.5478 0.8788
O 4.7392 1.4538 1.0904
O 4.2570 4.4698 1.0916
O 7.1117 3.3779 1.0924
O 5.9862 4.6214 3.3395
O 6.3773 1.8054 3.3396
O 3.7420 2.8735 3.3373
```

Density ... 7.0 Mg/m³
Crystal system ... trigonal
V ... 116.52 Å³ per cell
Raw total energy ... -79.59 eV per cell
Total magnetization ... 5.93 μB per formula unit
SG ... R3